Record 1
14
Lattice="8.305 0.000 0.000 0.000 8.305 0.000 0.000 0.000 4.738" Properties=species:S:1:pos:R:3 comment="PBE-GGA LiMg4Cd2, relaxed" dos_at_fermi_per_ev_fu=2.20 e_above_lowest_polymorph_ev_per_atom=0.000 delta_e_f_ev_per_atom=-0.02 pbc="T T T"
Li 0.000 0.000 0.000
Li 4.153 4.153 2.369
Mg 0.988 3.058 0.000
Mg 1.095 5.140 2.369
Mg 3.058 0.988 0.000
Mg 3.165 7.210 2.369
Mg 5.140 1.095 2.369
Mg 5.248 7.317 0.000
Mg 7.210 3.165 2.369
Mg 7.317 5.248 0.000
Cd 1.183 1.183 2.369
Cd 2.969 5.336 0.000
Cd 5.336 2.969 0.000
Cd 7.122 7.122 2.369

Record 2
17
Lattice="8.569 0.000 0.000 -4.284 7.421 0.000 0.000 0.000 5.955" Properties=species:S:1:pos:R:3 comment="PBE-GGA LiMg6Cd10, relaxed" dos_at_fermi_per_ev_fu=6.66 delta_e_f_ev_per_atom=-0.05 pbc="T T T"
Li 0.000 0.000 0.000
Mg -1.478 2.560 5.022
Mg -2.806 4.861 0.932
Mg 2.956 0.000 5.022
Mg 1.478 2.560 0.932
Mg 5.613 0.000 0.932
Mg 2.806 4.861 5.022
Cd -1.259 2.181 2.036
Cd -3.025 5.240 3.919
Cd 2.518 0.000 2.036
Cd 1.259 2.181 3.919
Cd 0.000 4.947 0.000
Cd 0.000 4.947 2.977
Cd 4.284 2.474 0.000
Cd 4.284 2.474 2.977
Cd 6.051 0.000 3.919
Cd 3.025 5.240 2.036

Record 3
6
Lattice="3.475 0.000 0.000 0.000 3.475 0.000 0.000 0.000 9.680" Properties=species:S:1:pos:R:3 comment="PBE-GGA Li3Mg2Cd, relaxed" dos_at_fermi_per_ev_fu=1.70 e_above_lowest_polymorph_ev_per_atom=0.000 delta_e_f_ev_per_atom=-0.13 pbc="T T T"
Li 0.000 0.000 0.000
Li 0.000 0.000 3.344
Li 0.000 0.000 6.336
Mg 1.738 1.738 1.666
Mg 1.738 1.738 8.013
Cd 1.738 1.738 4.840

Record 4
11
Lattice="6.918 -2.399 0.000 6.918 2.399 0.000 -3.811 0.000 6.287" Properties=species:S:1:pos:R:3 comment="PBE-GGA Li8MgCd2, relaxed" dos_at_fermi_per_ev_fu=4.64 e_above_lowest_polymorph_ev_per_atom=0.000 delta_e_f_ev_per_atom=-0.13 pbc="T T T"
Li -0.281 0.000 1.414
Li -0.709 0.000 4.407
Li 2.089 0.000 3.748
Li 5.395 0.000 0.223
Li 4.630 0.000 6.064
Li 7.936 0.000 2.539
Li 10.734 0.000 1.881
Li 10.306 0.000 4.873
Mg 5.012 0.000 3.144
Cd 2.572 0.000 0.943
Cd 7.453 0.000 5.344

Record 5
11
Lattice="3.062 0.000 0.000 0.000 7.985 0.000 1.521 3.890 9.385" Properties=species:S:1:pos:R:3 comment="PBE-GGA Li4Mg5Cd2, relaxed" dos_at_fermi_per_ev_fu=3.25 e_above_lowest_polymorph_ev_per_atom=0.000 delta_e_f_ev_per_atom=-0.08 pbc="T T T"
Li 0.761 4.540 4.522
Li 0.765 6.487 0.176
Li 3.818 5.388 9.208
Li 3.823 7.335 4.863
Mg 0.761 8.640 2.254
Mg 0.769 3.656 1.495
Mg 2.292 1.945 4.692
Mg 3.815 8.219 7.890
Mg 3.822 3.235 7.130
Cd 2.289 5.820 6.731
Cd 2.294 6.055 2.654

Record 6
12
Lattice="3.971 -6.465 0.000 3.971 6.465 0.000 -1.847 0.000 5.127" Properties=species:S:1:pos:R:3 comment="PBE-GGA LiMg4Cd, relaxed" dos_at_fermi_per_ev_fu=2.23 e_above_lowest_polymorph_ev_per_atom=0.059 delta_e_f_ev_per_atom=-0.02 pbc="T T T"
Li 2.586 6.448 3.845
Li 3.509 -6.448 1.282
Mg 1.422 4.031 4.861
Mg 1.167 1.320 3.291
Mg 3.749 4.031 2.829
Mg 2.091 -1.320 0.727
Mg 4.004 1.320 4.400
Mg 2.346 -4.031 2.298
Mg 4.928 -1.320 1.836
Mg 4.673 -4.031 0.266
Cd 3.509 1.390 1.282
Cd 2.586 -1.390 3.845

Record 7
19
Lattice="8.716 -4.096 0.000 8.716 4.096 0.000 -0.025 0.000 5.099" Properties=species:S:1:pos:R:3 comment="PBE-GGA Li12Mg2Cd5, relaxed" dos_at_fermi_per_ev_fu=3.54 e_above_lowest_polymorph_ev_per_atom=0.000 delta_e_f_ev_per_atom=-0.11 pbc="T T T"
Li 1.304 0.000 2.143
Li 5.064 1.462 4.238
Li 6.476 1.646 1.973
Li 7.281 0.000 4.917
Li 10.932 1.646 3.126
Li 5.064 -1.462 4.238
Li 12.344 1.462 0.861
Li 6.476 -1.646 1.973
Li 10.126 0.000 0.183
Li 10.932 -1.646 3.126
Li 12.344 -1.462 0.861
Li 16.104 0.000 2.956
Mg 8.716 2.493 0.000
Mg 8.716 -2.493 0.000
Cd 2.514 0.000 4.660
Cd 4.172 0.000 1.972
Cd 8.704 0.000 2.550
Cd 13.235 0.000 3.128
Cd 14.894 0.000 0.439

Record 8
11
Lattice="4.835 -3.455 0.000 4.835 3.455 0.000 -1.940 0.000 6.961" Properties=species:S:1:pos:R:3 comment="PBE-GGA Li7Mg3Cd, relaxed" dos_at_fermi_per_ev_fu=4.47 e_above_lowest_polymorph_ev_per_atom=0.000 delta_e_f_ev_per_atom=-0.03 pbc="T T T"
Li 0.000 0.000 0.000
Li 2.803 1.470 0.294
Li 0.160 0.000 4.844
Li 2.876 1.446 4.612
Li 2.803 -1.470 0.294
Li 5.571 0.000 0.030
Li 2.876 -1.446 4.612
Mg 5.210 1.694 2.437
Mg 5.210 -1.694 2.437
Mg 7.641 0.000 2.473
Cd 5.596 0.000 4.950